# LiBiTe2O6

A geometry-optimized LiBiTe2O6 structure (PBE, Alexandria).

Unit cell a=9.217 b=12.421 c=6.709 alpha=90.00 beta=125.44 gamma=90.00
Space group C2/c (No. 15)
Asymmetric unit:
Li 0.000 0.176 0.250 (multiplicity 4)
Bi 0.000 0.088 0.750 (multiplicity 4)
Te 0.115 0.383 0.623 (multiplicity 8)
O 0.121 0.234 0.586 (multiplicity 8)
O 0.131 0.068 0.199 (multiplicity 8)
O 0.164 0.384 0.943 (multiplicity 8)

N(E_F)	0.000	states/eV/atom
density	6.0	g/cm³
raw formation energy	-1.235	eV/atom


# LiBiTeO6

A geometry-optimized LiBiTeO6 structure (PBE, Alexandria).

Unit cell a=5.1810 b=5.1810 c=9.1807 alpha=90.00 beta=90.00 gamma=120.00
Space group P-31c (No. 163)
Asymmetric unit:
Li 0.3333 0.6667 0.2500 (multiplicity 2)
Bi 0.0000 0.0000 0.0000 (multiplicity 2)
Te 0.3333 0.6667 0.7500 (multiplicity 2)
O 0.0157 0.3587 0.6311 (multiplicity 12)

N(E_F)	0.500	states/eV/atom
density	6.8	g/cm³
raw formation energy	-1.058	eV/atom